[1]
Entry from Alexandria: a geometry-optimized BaTcP2 structure (GGA-PBE).

abc: 4.1316 3.5714 6.2115
angles: 89.94 90.00 90.00
Fractional coordinates of all 4 atoms:
Ba (0.5000, 0.7500, 0.7500)
Tc (0.5000, 0.2500, 0.2500)
P (0.0000, 0.2505, 0.0652)
P (0.0000, 0.2495, 0.4348)

Values from the calculation:
The total magnetization is 0.00 μB/atom. As for the space-group type: No. 10. The calculation puts the total energy at -24.039 eV/f.u. The volume comes out at 91.7 Å³/cell.


[2]
Entry from Alexandria: a geometry-optimized Ba2TcP structure (GGA-PBE).

abc: 3.4004 3.4004 9.7040
angles: 90.00 90.00 90.00
Last column: magnetic moment on the atom in μB.
Fractional coordinates of all 4 atoms:
P (0.0000, 0.0000, 0.5773)  0.01
Ba (0.5000, 0.5000, 0.3396)  0.14
Tc (0.5000, 0.5000, 0.6662)  -0.02
Ba (0.0000, 0.0000, 0.9169)  0.01

Values from the calculation:
The total magnetization is 0.13 μB/atom. As for the space-group type: No. 99. The calculation puts the total energy at -19.570 eV/f.u. The volume comes out at 112.2 Å³/cell.


[3]
Entry from Alexandria: a geometry-optimized BaTcP2 structure (GGA-PBE).

abc: 3.1703 3.6660 7.8431
angles: 90.00 90.00 90.00
Fractional coordinates of all 4 atoms:
P (0.0000, 0.0000, 0.0318)
Ba (0.5000, 0.5000, 0.7765)
P (0.5000, 0.5000, 0.3736)
Tc (0.0000, 0.0000, 0.3181)

Values from the calculation:
The total magnetization is 0.00 μB/atom. As for the space-group type: No. 25. The calculation puts the total energy at -23.227 eV/f.u. The volume comes out at 91.2 Å³/cell.


[4]
Entry from Alexandria: a geometry-optimized BaTcP structure (GGA-PBE).

abc: 4.0495 4.0495 5.1862
angles: 90.00 90.00 120.00
Fractional coordinates of all 3 atoms:
Ba (0.0000, 0.0000, 0.5000)
Tc (0.3333, 0.6667, 0.0000)
P (0.6667, 0.3333, 0.0000)

Values from the calculation:
The total magnetization is 0.00 μB/atom. As for the space-group type: No. 187. The calculation puts the total energy at -18.814 eV/f.u. The volume comes out at 73.7 Å³/cell.


[5]
Entry from Alexandria: a geometry-optimized BaTcP2 structure (GGA-PBE).

abc: 4.8612 4.8612 4.8612
angles: 60.00 60.00 60.00
Last column: magnetic moment on the atom in μB.
Fractional coordinates of all 4 atoms:
P (0.0000, 0.0000, 0.0000)  -0.03
Ba (0.5000, 0.5000, 0.5000)  0.07
Tc (0.7500, 0.7500, 0.7500)  1.55
P (0.2500, 0.2500, 0.2500)  -0.01

Values from the calculation:
The total magnetization is 0.43 μB/atom. As for the space-group type: No. 216. The calculation puts the total energy at -19.823 eV/f.u. The volume comes out at 81.2 Å³/cell.


[6]
Entry from Alexandria: a geometry-optimized Ba2TcP structure (GGA-PBE).

abc: 5.2934 5.2934 5.2934
angles: 60.00 60.00 60.00
Last column: magnetic moment on the atom in μB.
Fractional coordinates of all 4 atoms:
P (0.5000, 0.5000, 0.5000)  0.00
Ba (0.0000, 0.0000, 0.0000)  0.07
Tc (0.2500, 0.2500, 0.2500)  1.73
Ba (0.7500, 0.7500, 0.7500)  -0.05

Values from the calculation:
The total magnetization is 0.50 μB/atom. As for the space-group type: No. 216. The calculation puts the total energy at -17.365 eV/f.u. The volume comes out at 104.9 Å³/cell.


[7]
Entry from Alexandria: a geometry-optimized BaTcP2 structure (GGA-PBE).

abc: 5.3206 5.3206 5.3206
angles: 134.21 106.35 91.22
Fractional coordinates of all 4 atoms:
Ba (0.7500, 0.2500, 0.5000)
Tc (0.2500, 0.7500, 0.5000)
P (0.0993, 0.0993, 0.0000)
P (0.4007, 0.4007, 0.0000)

Values from the calculation:
The total magnetization is 0.00 μB/atom. As for the space-group type: No. 71. The calculation puts the total energy at -24.239 eV/f.u. The volume comes out at 98.3 Å³/cell.


[8]
Entry from Alexandria: a geometry-optimized Ba4TcP structure (GGA-PBE).

abc: 6.9374 6.9374 6.9374
angles: 60.00 60.00 60.00
Last column: magnetic moment on the atom in μB.
Fractional coordinates of all 6 atoms:
Ba (0.3753, 0.3753, 0.8740)  -0.14
P (0.7500, 0.7500, 0.7500)  0.07
Ba (0.3753, 0.3753, 0.3753)  -0.14
Ba (0.3753, 0.8740, 0.3753)  -0.14
Ba (0.8740, 0.3753, 0.3753)  -0.14
Tc (0.0000, 0.0000, 0.0000)  3.00

Values from the calculation:
The total magnetization is 0.39 μB/atom. As for the space-group type: No. 216. The calculation puts the total energy at -17.043 eV/f.u. The volume comes out at 236.1 Å³/cell.


[9]
Entry from Alexandria: a geometry-optimized BaTcP2 structure (GGA-PBE).

abc: 4.4320 3.8856 6.2816
angles: 71.97 90.00 90.00
Fractional coordinates of all 4 atoms:
Ba (0.5000, 0.6644, 0.7970)
P (0.5000, 0.3822, 0.3601)
Tc (0.0000, 0.4240, 0.2767)
P (0.0000, 0.0294, 0.0662)

Values from the calculation:
The total magnetization is 0.00 μB/atom. As for the space-group type: No. 38. The calculation puts the total energy at -24.830 eV/f.u. The volume comes out at 102.9 Å³/cell.


[10]
Entry from Alexandria: a geometry-optimized BaTcP2 structure (GGA-PBE).

abc: 5.8062 5.8062 5.8062
angles: 137.07 137.07 62.34
Last column: magnetic moment on the atom in μB.
Fractional coordinates of all 4 atoms:
Tc (0.5000, 0.5000, 0.0000)  2.69
P (0.0000, 0.0000, 0.0000)  -0.10
Ba (0.7500, 0.2500, 0.5000)  0.03
P (0.2500, 0.7500, 0.5000)  -0.05

Values from the calculation:
The total magnetization is 0.70 μB/atom. As for the space-group type: No. 119. The calculation puts the total energy at -20.317 eV/f.u. The volume comes out at 89.7 Å³/cell.


[11]
Entry from Alexandria: a geometry-optimized Ba2TcP structure (GGA-PBE).

abc: 6.2890 6.2890 6.2890
angles: 136.19 136.19 63.69
Last column: magnetic moment on the atom in μB.
Fractional coordinates of all 4 atoms:
P (0.5000, 0.5000, 0.0000)  0.09
Ba (0.0000, 0.0000, 0.0000)  0.03
Tc (0.7500, 0.2500, 0.5000)  2.72
Ba (0.2500, 0.7500, 0.5000)  -0.03

Values from the calculation:
The total magnetization is 0.85 μB/atom. As for the space-group type: No. 119. The calculation puts the total energy at -17.649 eV/f.u. The volume comes out at 117.6 Å³/cell.


[12]
Entry from Alexandria: a geometry-optimized BaTc3P3 structure (GGA-PBE).

abc: 4.3856 8.7714 8.7714
angles: 120.00 90.00 90.00
Fractional coordinates of all 14 atoms:
Tc (0.2500, 0.1571, 0.9618)
P (0.7500, 0.6500, 0.7189)
Tc (0.2500, 0.8047, 0.8429)
P (0.2500, 0.9311, 0.6500)
P (0.7500, 0.0689, 0.3500)
Ba (0.7500, 0.6667, 0.3333)
Tc (0.2500, 0.0382, 0.1953)
Ba (0.2500, 0.3333, 0.6667)
P (0.2500, 0.7189, 0.0689)
Tc (0.7500, 0.8429, 0.0382)
P (0.7500, 0.2811, 0.9311)
P (0.2500, 0.3500, 0.2811)
Tc (0.7500, 0.9618, 0.8047)
Tc (0.7500, 0.1953, 0.1571)

Values from the calculation:
The total magnetization is 0.00 μB/atom. As for the space-group type: No. 176. The calculation puts the total energy at -53.466 eV/f.u. The volume comes out at 292.2 Å³/cell.


[13]
Entry from Alexandria: a geometry-optimized Ba2TcP structure (GGA-PBE).

abc: 6.3600 6.3600 4.2319
angles: 90.00 90.00 134.06
Fractional coordinates of all 4 atoms:
Ba (0.0199, 0.9801, 0.0000)
Ba (0.7332, 0.2668, 0.5000)
P (0.3281, 0.6719, 0.0000)
Tc (0.4121, 0.5879, 0.5000)

Values from the calculation:
The total magnetization is 0.00 μB/atom. As for the space-group type: No. 38. The calculation puts the total energy at -20.466 eV/f.u. The volume comes out at 123.0 Å³/cell.


[14]
Entry from Alexandria: a geometry-optimized Ba2TcP structure (GGA-PBE).

abc: 5.2794 5.2794 4.2659
angles: 90.00 90.00 99.30
Last column: magnetic moment on the atom in μB.
Fractional coordinates of all 4 atoms:
Tc (0.5000, 0.5000, 0.5000)  2.47
Ba (0.0000, 0.5000, 0.0000)  -0.02
Ba (0.5000, 0.0000, 0.0000)  -0.02
P (0.0000, 0.0000, 0.5000)  0.07

Values from the calculation:
The total magnetization is 0.73 μB/atom. As for the space-group type: No. 65. The calculation puts the total energy at -18.026 eV/f.u. The volume comes out at 117.3 Å³/cell.


[15]
Entry from Alexandria: a geometry-optimized BaTcP2 structure (GGA-PBE).

abc: 3.2064 3.2064 7.3582
angles: 90.00 90.00 90.00
Fractional coordinates of all 4 atoms:
Ba (0.5000, 0.5000, 0.7500)
Tc (0.5000, 0.5000, 0.2500)
P (0.0000, 0.0000, 0.4283)
P (0.0000, 0.0000, 0.0717)

Values from the calculation:
The total magnetization is 0.00 μB/atom. As for the space-group type: No. 123. The calculation puts the total energy at -24.105 eV/f.u. The volume comes out at 75.6 Å³/cell.


[16]
Entry from Alexandria: a geometry-optimized BaTcP structure (GGA-PBE).

abc: 6.3505 6.3505 6.3505
angles: 150.06 150.06 42.86
Fractional coordinates of all 3 atoms:
Ba (0.0004, 0.0004, 0.0000)
Tc (0.7132, 0.7132, 0.0000)
P (0.2864, 0.2864, 0.0000)

Values from the calculation:
The total magnetization is 0.00 μB/atom. As for the space-group type: No. 107. The calculation puts the total energy at -18.281 eV/f.u. The volume comes out at 63.7 Å³/cell.


[17]
Entry from Alexandria: a geometry-optimized Ba2TcP structure (GGA-PBE).

abc: 11.8446 11.8446 8.6822
angles: 46.99 46.99 90.00
Last column: magnetic moment on the atom in μB.
Fractional coordinates of all 8 atoms:
Ba (0.9231, 0.1250, 0.2500)  0.03
Tc (0.7500, 0.2500, 0.5000)  -0.20
Ba (0.8750, 0.1731, 0.7500)  0.04
Tc (0.0000, 0.0000, 0.0000)  -0.20
Ba (0.3750, 0.0769, 0.7500)  0.03
P (0.5000, 0.5000, 0.0000)  0.00
P (0.2500, 0.7500, 0.5000)  0.00
Ba (0.8269, 0.6250, 0.2500)  0.04

Values from the calculation:
The total magnetization is 0.04 μB/atom. As for the space-group type: No. 122. The calculation puts the total energy at -19.808 eV/f.u. The volume comes out at 321.0 Å³/cell.


[18]
Entry from Alexandria: a geometry-optimized BaTcP2 structure (GGA-PBE).

abc: 4.8026 4.8026 4.8026
angles: 60.00 60.00 60.00
Fractional coordinates of all 4 atoms:
P (0.7500, 0.7500, 0.7500)
P (0.2500, 0.2500, 0.2500)
Tc (0.0000, 0.0000, 0.0000)
Ba (0.5000, 0.5000, 0.5000)

Values from the calculation:
The total magnetization is 0.00 μB/atom. As for the space-group type: No. 225. The calculation puts the total energy at -21.948 eV/f.u. The volume comes out at 78.3 Å³/cell.


[19]
Entry from Alexandria: a geometry-optimized BaTcP2 structure (GGA-PBE).

abc: 4.1772 4.1772 6.1363
angles: 70.28 70.28 59.71
Fractional coordinates of all 4 atoms:
P (0.9530, 0.9530, 0.1448)
Tc (0.2500, 0.2500, 0.2500)
P (0.5470, 0.5470, 0.3552)
Ba (0.7500, 0.7500, 0.7500)

Values from the calculation:
The total magnetization is 0.00 μB/atom. As for the space-group type: No. 12. The calculation puts the total energy at -25.184 eV/f.u. The volume comes out at 85.2 Å³/cell.


[20]
Entry from Alexandria: a geometry-optimized BaTcP4 structure (GGA-PBE).

abc: 5.5746 5.5746 5.5746
angles: 60.00 60.00 60.00
Last column: magnetic moment on the atom in μB.
Fractional coordinates of all 6 atoms:
Ba (0.0000, 0.0000, 0.0000)  0.02
Tc (0.7500, 0.7500, 0.7500)  2.85
P (0.8161, 0.3946, 0.3946)  0.01
P (0.3946, 0.3946, 0.8161)  0.01
P (0.3946, 0.8161, 0.3946)  0.01
P (0.3946, 0.3946, 0.3946)  0.01

Values from the calculation:
The total magnetization is 0.58 μB/atom. As for the space-group type: No. 216. The calculation puts the total energy at -30.833 eV/f.u. The volume comes out at 122.5 Å³/cell.